Record 1
Below is crystalline SrTe2Mo at its relaxed geometry, with properties calculated at the GGA-PBEsol level.

Cell lengths 7.8692, 7.8692, 7.8692 Å; angles 153.66, 151.54, 39.17 degrees
Atoms (fractional coordinates):
Sr1 0.0000 0.0000 0.0000
Te1 0.3288 0.8288 0.5000
Te2 0.6199 0.6199 0.0000
Mo1 0.7562 0.2562 0.5000

Output
As for the crystal system: orthorhombic. For the total magnetic moment, the calculation gives 0.000 μB/atom. The value obtained for the energy above the most stable polymorph in this dataset is 111 meV per atom. The calculation puts the density of states at the Fermi level at 2.2 states/eV per cell.



Record 2
Below is crystalline SrTe2Mo at its relaxed geometry, with properties calculated at the GGA-PBEsol level.

Cell lengths 5.0598, 5.0598, 5.0598 Å; angles 60.00, 60.00, 60.00 degrees
Atoms (fractional coordinates):
Sr1 0.0000 0.0000 0.0000
Te1 0.2500 0.2500 0.2500
Te2 0.7500 0.7500 0.7500
Mo1 0.5000 0.5000 0.5000

Output
As for the crystal system: cubic. For the total magnetic moment, the calculation gives 0.000 μB/atom. The value obtained for the energy above the most stable polymorph in this dataset is 246 meV per atom. The calculation puts the density of states at the Fermi level at 0.4 states/eV per cell.



Raw total energy per entry: -22.0, -21.5 eV per cell
V per entry: 25.71, 22.90 A^3/atom
Formation energy from raw total energies per entry: -0.34, -0.21 eV/atom